one.
## Tb3Sn3Pb4 (PBE)

Data for an optimized crystal structure of Tb3Sn3Pb4.

Cell: 13.575 13.575 4.577 Å, 90.00 90.00 161.06°
Fractional positions:
1 Pb 0.903 0.097 0.500
2 Pb 0.709 0.291 0.500
3 Pb 0.291 0.709 0.500
4 Pb 0.097 0.903 0.500
5 Sn 0.000 0.000 0.000
6 Sn 0.595 0.405 0.000
7 Sn 0.405 0.595 0.000
8 Tb 0.811 0.189 0.000
9 Tb 0.189 0.811 0.000
10 Tb 0.500 0.500 0.500

magnetic moment	0.003	μB/cell
volume	274	Å³ per cell
density	10.1	g/cm3

two.
## Tb3Sn3Pb4 (PBE)

Data for an optimized crystal structure of Tb3Sn3Pb4.

Cell: 13.615 13.615 4.591 Å, 90.00 90.00 160.98°
Fractional positions:
1 Pb 0.597 0.403 0.000
2 Pb 0.403 0.597 0.000
3 Pb 0.902 0.098 0.500
4 Pb 0.098 0.902 0.500
5 Sn 0.000 0.000 0.000
6 Sn 0.711 0.289 0.500
7 Sn 0.289 0.711 0.500
8 Tb 0.807 0.193 0.000
9 Tb 0.193 0.807 0.000
10 Tb 0.500 0.500 0.500

magnetic moment	0.001	μB/cell
volume	277	Å³ per cell
density	10.0	g/cm3

Stability check: which of them is most stable? two.

one.
## Tb2YSn3Pb4 (PBE)

Data for an optimized crystal structure of Tb2YSn3Pb4.

Cell: 13.578 13.578 4.574 Å, 90.00 90.00 161.04°
Fractional positions:
1 Pb 0.791 0.209 0.000
2 Pb 0.597 0.403 0.000
3 Pb 0.403 0.597 0.000
4 Pb 0.209 0.791 0.000
5 Sn 0.905 0.095 0.500
6 Sn 0.500 0.500 0.500
7 Sn 0.095 0.905 0.500
8 Tb 0.689 0.311 0.500
9 Tb 0.311 0.689 0.500
10 Y 0.000 0.000 0.000

magnetic moment	0.001	μB/cell
volume	274	Å³ per cell
density	9.6	g/cm3

two.
## Tb2YSn3Pb4 (PBE)

Data for an optimized crystal structure of Tb2YSn3Pb4.

Cell: 13.611 13.611 4.593 Å, 90.00 90.00 160.97°
Fractional positions:
1 Pb 0.902 0.098 0.000
2 Pb 0.098 0.902 0.000
3 Pb 0.597 0.403 0.500
4 Pb 0.403 0.597 0.500
5 Sn 0.711 0.289 0.000
6 Sn 0.289 0.711 0.000
7 Sn 0.000 0.000 0.500
8 Tb 0.807 0.193 0.500
9 Tb 0.193 0.807 0.500
10 Y 0.500 0.500 0.000

magnetic moment	0.002	μB/cell
volume	277	Å³ per cell
density	9.5	g/cm3

Stability check: which of them is most stable? two.

one.
## TmSnPb (PBE)

Data for an optimized crystal structure of TmSnPb.

Cell: 5.137 5.137 5.137 Å, 60.00 60.00 60.00°
Fractional positions:
1 Pb 0.250 0.250 0.250
2 Sn 0.750 0.750 0.750
3 Tm 0.000 0.000 0.000

magnetic moment	0.001	μB/cell
volume	96	Å³ per cell
density	8.6	g/cm3

two.
## TmSnPb (PBE)

Data for an optimized crystal structure of TmSnPb.

Cell: 5.187 5.187 5.187 Å, 60.00 60.00 60.00°
Fractional positions:
1 Pb 0.750 0.750 0.750
2 Sn 0.000 0.000 0.000
3 Tm 0.250 0.250 0.250

magnetic moment	0.000	μB/cell
volume	99	Å³ per cell
density	8.3	g/cm3

Stability check: which of them is most stable? one.

one.
## TaPb (PBE)

Data for an optimized crystal structure of TaPb.

Cell: 3.242 3.241 4.716 Å, 90.00 90.00 120.00°
Fractional positions:
1 Pb 0.667 0.333 0.750
2 Ta 0.333 0.667 0.250

magnetic moment	0.000	μB/cell
volume	43	Å³ per cell
density	15.0	g/cm3

two.
## TaPb (PBE)

Data for an optimized crystal structure of TaPb.

Cell: 4.523 4.523 4.523 Å, 60.00 60.00 60.00°
Fractional positions:
1 Pb 0.000 0.000 0.000
2 Ta 0.250 0.250 0.250

magnetic moment	0.020	μB/cell
volume	65	Å³ per cell
density	9.9	g/cm3

Stability check: which of them is most stable? one.

one.
## UTcPb (PBE)

Data for an optimized crystal structure of UTcPb.

Cell: 4.744 4.744 4.744 Å, 60.00 60.00 60.00°
Site moments in Bohr magnetons follow the coordinates.
Fractional positions:
1 Pb 0.000 0.000 0.000  0.00
2 Tc 0.250 0.250 0.250  0.98
3 U 0.750 0.750 0.750  -0.20

magnetic moment	0.972	μB/cell
volume	75	Å³ per cell
density	11.9	g/cm3

two.
## UTcPb (PBE)

Data for an optimized crystal structure of UTcPb.

Cell: 4.807 4.807 4.807 Å, 60.00 60.00 60.00°
Fractional positions:
1 Pb 0.250 0.250 0.250
2 Tc 0.750 0.750 0.750
3 U 0.000 0.000 0.000

magnetic moment	1.090	μB/cell
volume	79	Å³ per cell
density	11.5	g/cm3

Stability check: which of them is most stable? two.

one.
## ZrUPb (PBE)

Data for an optimized crystal structure of ZrUPb.

Cell: 5.111 5.111 5.111 Å, 60.00 60.00 60.00°
Fractional positions:
1 Pb 0.250 0.250 0.250
2 U 0.000 0.000 0.000
3 Zr 0.750 0.750 0.750

magnetic moment	5.689	μB/cell
volume	94	Å³ per cell
density	9.4	g/cm3

two.
## ZrUPb (PBE)

Data for an optimized crystal structure of ZrUPb.

Cell: 5.035 5.035 5.035 Å, 60.00 60.00 60.00°
Site moments in Bohr magnetons follow the coordinates.
Fractional positions:
1 Pb 0.000 0.000 0.000  -0.04
2 U 0.250 0.250 0.250  2.75
3 Zr 0.750 0.750 0.750  0.61

magnetic moment	4.057	μB/cell
volume	90	Å³ per cell
density	9.9	g/cm3

Stability check: which of them is most stable? two.